[1]
Ba3Sn2AuO9 | PBE-GGA | optimized geometry

M_tot   0.0000 μB per atom
Crystal system   trigonal
Energy   -5.875 eV per atom

Lattice parameters (Å, degrees): 5.936 5.936 7.285 90.00 90.00 120.00
Positions (direct):
1 O 0.831 0.661 0.667
2 O 0.000 0.500 0.000
3 O 0.169 0.339 0.333
4 O 0.500 0.000 0.000
5 O 0.661 0.831 0.333
6 O 0.500 0.500 0.000
7 O 0.339 0.169 0.667
8 O 0.169 0.831 0.333
9 O 0.831 0.169 0.667
10 Sn 0.667 0.333 0.839
11 Sn 0.333 0.667 0.161
12 Ba 0.000 0.000 0.000
13 Ba 0.667 0.333 0.343
14 Ba 0.333 0.667 0.657
15 Au 0.000 0.000 0.500

***

[2]
SrZrPb2 | PBE-GGA | optimized geometry

M_tot   0.0001 μB per atom
Formation energy   -132 meV per atom
Crystal system   trigonal
Energy   -4.544 eV per atom

Lattice parameters (Å, degrees): 10.205 10.205 10.205 20.95 20.95 20.95
Positions (direct):
1 Pb 0.493 0.493 0.493
2 Pb 0.007 0.007 0.007
3 Zr 0.750 0.750 0.750
4 Sr 0.250 0.250 0.250